Entry 1:
First-principles (PBEsol) data for an optimized crystal structure of Li4Al3, as listed in the Alexandria database.

abc: 11.324 11.324 11.324
angles: 164.00 164.00 22.70
Sites, in units of the cell vectors:
Li 0.072 0.072 0.000
Li 0.358 0.358 0.000
Li 0.642 0.642 0.000
Li 0.928 0.928 0.000
Al 0.213 0.213 0.000
Al 0.500 0.500 0.000
Al 0.787 0.787 0.000

Calculated values
Space-group type: I4/mmm, No. 139


Entry 2:
First-principles (PBEsol) data for an optimized crystal structure of LiAl8, as listed in the Alexandria database.

abc: 6.366 6.366 6.366
angles: 95.59 95.59 143.63
Sites, in units of the cell vectors:
Li 0.000 0.000 0.000
Al 0.000 0.332 0.332
Al 0.000 0.668 0.668
Al 0.332 0.000 0.332
Al 0.335 0.335 0.670
Al 0.335 0.665 0.000
Al 0.665 0.335 0.000
Al 0.665 0.665 0.330
Al 0.668 0.000 0.668

Calculated values
Space-group type: I4/mmm, No. 139


How do the records compare in ΔE_f? In the order shown, they have -101, -23 meV per atom.
How do the records compare in final energy? In the order shown, they have -20.9, -34.9 eV/f.u..